[1]
A plane-wave DFT calculation with PBE was carried out for K3BCl after structural relaxation.

The structure in CIF format:
```
data_K3BCl
_cell_length_a 5.948
_cell_length_b 5.948
_cell_length_c 5.948
_cell_angle_alpha 90.00
_cell_angle_beta 90.00
_cell_angle_gamma 90.00
_symmetry_space_group_name_H-M 'P m -3 m'
_symmetry_Int_Tables_number 221
_symmetry_space_group_name_Hall '-P 4 2 3'
loop_
_atom_site_label
_atom_site_type_symbol
_atom_site_fract_x
_atom_site_fract_y
_atom_site_fract_z
K1 K 0.000 0.000 0.500
B1 B 0.000 0.000 0.000
Cl1 Cl 0.500 0.500 0.500
```

Calculated values
Crystal system   cubic
Size of the total moment   3.000 μB/f.u.
Raw total energy   -2.243 eV per atom
Formation energy without anion corrections   120 meV per atom
ΔE to the lowest computed polymorph   0.000 eV/atom



[2]
A plane-wave DFT calculation with PBE was carried out for TaW2N after structural relaxation.

The structure in CIF format:
```
data_TaW2N
_cell_length_a 7.127
_cell_length_b 7.127
_cell_length_c 4.578
_cell_angle_alpha 90.00
_cell_angle_beta 90.00
_cell_angle_gamma 90.00
_symmetry_space_group_name_H-M 'I -4 2 d'
_symmetry_Int_Tables_number 122
_symmetry_space_group_name_Hall 'I -4 2bw'
loop_
_atom_site_label
_atom_site_type_symbol
_atom_site_fract_x
_atom_site_fract_y
_atom_site_fract_z
Ta1 Ta 0.000 0.000 0.000
W1 W 0.139 0.750 0.625
N1 N 0.000 0.000 0.500
```

Calculated values
Crystal system   tetragonal
Size of the total moment   0.000 μB/f.u.
Raw total energy   -11.435 eV per atom
Formation energy without anion corrections   86 meV per atom



[3]
A plane-wave DFT calculation with PBE was carried out for CaAc2CuO5 after structural relaxation.

The structure in CIF format:
```
data_CaAc2CuO5
_cell_length_a 7.005
_cell_length_b 7.005
_cell_length_c 5.876
_cell_angle_alpha 90.00
_cell_angle_beta 90.00
_cell_angle_gamma 90.00
_symmetry_space_group_name_H-M 'P 4/m b m'
_symmetry_Int_Tables_number 127
_symmetry_space_group_name_Hall '-P 4 2ab'
loop_
_atom_site_label
_atom_site_type_symbol
_atom_site_fract_x
_atom_site_fract_y
_atom_site_fract_z
Ca1 Ca 0.000 0.000 0.000
Ac1 Ac 0.173 0.327 0.500
Cu1 Cu 0.000 0.500 0.000
O1 O 0.000 0.000 0.500
O2 O 0.142 0.642 0.230
```

Calculated values
Crystal system   tetragonal
Size of the total moment   1.000 μB/f.u.
Raw total energy   -6.769 eV per atom
Formation energy without anion corrections   -2423 meV per atom



[4]
A plane-wave DFT calculation with PBE was carried out for Ca2MoRu after structural relaxation.

The structure in CIF format:
```
data_Ca2MoRu
_cell_length_a 3.043
_cell_length_b 4.835
_cell_length_c 5.447
_cell_angle_alpha 90.00
_cell_angle_beta 92.09
_cell_angle_gamma 90.00
_symmetry_space_group_name_H-M 'P 1 2/m 1'
_symmetry_Int_Tables_number 10
loop_
_symmetry_equiv_pos_as_xyz
'x,y,z'
'-x,-y,-z'
'-x,y,-z'
'x,-y,z'
loop_
_atom_site_label
_atom_site_type_symbol
_atom_site_fract_x
_atom_site_fract_y
_atom_site_fract_z
Ca1 Ca 0.023 0.000 0.256
Mo1 Mo 0.500 0.500 0.000
Ru1 Ru 0.500 0.500 0.500
```

Calculated values
Crystal system   monoclinic
Size of the total moment   0.000 μB/f.u.
Raw total energy   -5.317 eV per atom
ΔE_f   0.711 eV per atom
ΔE to the lowest computed polymorph   0.488 eV/atom



[5]
A plane-wave DFT calculation with PBE was carried out for Nd2HoMnN4 after structural relaxation.

The structure in CIF format:
```
data_Nd2HoMnN4
_cell_length_a 3.417
_cell_length_b 11.829
_cell_length_c 12.021
_cell_angle_alpha 90.00
_cell_angle_beta 90.00
_cell_angle_gamma 90.00
_symmetry_space_group_name_H-M 'C m c m'
_symmetry_Int_Tables_number 63
_symmetry_space_group_name_Hall '-C 2c 2'
loop_
_atom_site_label
_atom_site_type_symbol
_atom_site_fract_x
_atom_site_fract_y
_atom_site_fract_z
Nd1 Nd 0.000 0.133 0.043
Ho1 Ho 0.000 0.371 0.250
Mn1 Mn 0.000 0.344 0.750
N1 N 0.000 0.088 0.250
N2 N 0.000 0.227 0.641
N3 N 0.000 0.500 0.000
```

Calculated values
Crystal system   orthorhombic
Size of the total moment   0.000 μB/f.u.
Raw total energy   -8.013 eV per atom
Formation energy without anion corrections   -940 meV per atom



[6]
A plane-wave DFT calculation with PBE was carried out for LuFe4Os after structural relaxation.

The structure in CIF format:
```
data_LuFe4Os
_cell_length_a 6.926
_cell_length_b 6.926
_cell_length_c 6.926
_cell_angle_alpha 90.00
_cell_angle_beta 90.00
_cell_angle_gamma 90.00
_symmetry_space_group_name_H-M 'F -4 3 m'
_symmetry_Int_Tables_number 216
_symmetry_space_group_name_Hall 'F -4 2 3'
loop_
_atom_site_label
_atom_site_type_symbol
_atom_site_fract_x
_atom_site_fract_y
_atom_site_fract_z
Lu1 Lu 0.000 0.000 0.000
Fe1 Fe 0.124 0.124 0.624
Os1 Os 0.250 0.250 0.250
```

Calculated values
Crystal system   cubic
Size of the total moment   9.850 μB/f.u.
Raw total energy   -8.276 eV per atom
ΔE_f   -0.009 eV per atom



[7]
A plane-wave DFT calculation with PBE was carried out for DyTmMnZn after structural relaxation.

The structure in CIF format:
```
data_DyTmMnZn
_cell_length_a 7.029
_cell_length_b 7.029
_cell_length_c 7.029
_cell_angle_alpha 90.00
_cell_angle_beta 90.00
_cell_angle_gamma 90.00
_symmetry_space_group_name_H-M 'F -4 3 m'
_symmetry_Int_Tables_number 216
_symmetry_space_group_name_Hall 'F -4 2 3'
loop_
_atom_site_label
_atom_site_type_symbol
_atom_site_fract_x
_atom_site_fract_y
_atom_site_fract_z
Dy1 Dy 0.000 0.000 0.000
Tm1 Tm 0.000 0.000 0.500
Mn1 Mn 0.250 0.250 0.250
Zn1 Zn 0.250 0.250 0.750
```

Calculated values
Crystal system   cubic
Size of the total moment   2.804 μB/f.u.
Raw total energy   -4.933 eV per atom
ΔE_f   -0.054 eV per atom



[8]
A plane-wave DFT calculation with PBE was carried out for RbSrBiS2 after structural relaxation.

The structure in CIF format:
```
data_RbSrBiS2
_cell_length_a 5.722
_cell_length_b 5.722
_cell_length_c 6.264
_cell_angle_alpha 90.00
_cell_angle_beta 90.00
_cell_angle_gamma 90.00
_symmetry_space_group_name_H-M 'P 4/m m m'
_symmetry_Int_Tables_number 123
_symmetry_space_group_name_Hall '-P 4 2'
loop_
_atom_site_label
_atom_site_type_symbol
_atom_site_fract_x
_atom_site_fract_y
_atom_site_fract_z
Rb1 Rb 0.000 0.000 0.000
Sr1 Sr 0.500 0.500 0.500
Bi1 Bi 0.500 0.500 0.000
S1 S 0.000 0.500 0.500
```

Calculated values
Crystal system   tetragonal
Size of the total moment   1.159 μB/f.u.
Raw total energy   -3.179 eV per atom
Formation energy without anion corrections   -222 meV per atom



Which of these has the highest raw total energy? K3BCl



Copy entry 4 word for word.
A plane-wave DFT calculation with PBE was carried out for Ca2MoRu after structural relaxation.

The structure in CIF format:
```
data_Ca2MoRu
_cell_length_a 3.043
_cell_length_b 4.835
_cell_length_c 5.447
_cell_angle_alpha 90.00
_cell_angle_beta 92.09
_cell_angle_gamma 90.00
_symmetry_space_group_name_H-M 'P 1 2/m 1'
_symmetry_Int_Tables_number 10
loop_
_symmetry_equiv_pos_as_xyz
'x,y,z'
'-x,-y,-z'
'-x,y,-z'
'x,-y,z'
loop_
_atom_site_label
_atom_site_type_symbol
_atom_site_fract_x
_atom_site_fract_y
_atom_site_fract_z
Ca1 Ca 0.023 0.000 0.256
Mo1 Mo 0.500 0.500 0.000
Ru1 Ru 0.500 0.500 0.500
```

Calculated values
Crystal system   monoclinic
Size of the total moment   0.000 μB/f.u.
Raw total energy   -5.317 eV per atom
ΔE_f   0.711 eV per atom
ΔE to the lowest computed polymorph   0.488 eV/atom



Which of these has the lowest raw total energy? TaW2N



raw total energy of number 8 (RbSrBiS2)? -3.179 eV per atom